A relaxed structure of Tm3Ge4Os2, computed with PBE-GGA.

Computed properties:
- SG: C2/m (12)

Unit cell a=5.715 b=5.715 c=8.065 alpha=108.50 beta=108.50 gamma=44.74
Positions (direct):
Ge (0.911, 0.911, 0.096)
Ge (0.286, 0.286, 0.422)
Ge (0.714, 0.714, 0.578)
Ge (0.089, 0.089, 0.904)
Os (0.321, 0.321, 0.140)
Os (0.679, 0.679, 0.860)
Tm (0.623, 0.623, 0.198)
Tm (0.000, 0.000, 0.500)
Tm (0.377, 0.377, 0.802)



A relaxed structure of MgCoSnOs, computed with PBE-GGA.

Computed properties:
- SG: F-43m (216)

Unit cell a=4.410 b=4.410 c=4.410 alpha=60.00 beta=60.00 gamma=60.00
Positions (direct):
Co (0.750, 0.750, 0.750)
Mg (0.500, 0.500, 0.500)
Os (0.250, 0.250, 0.250)
Sn (0.000, 0.000, 0.000)



A relaxed structure of AcB4Pt, computed with PBE-GGA.

Computed properties:
- SG: P6/mmm (191)

Unit cell a=3.306 b=3.306 c=7.489 alpha=90.00 beta=90.00 gamma=120.00
Positions (direct):
Ac (0.000, 0.000, 0.500)
B (0.667, 0.333, 0.204)
B (0.333, 0.667, 0.204)
B (0.667, 0.333, 0.796)
B (0.333, 0.667, 0.796)
Pt (0.000, 0.000, 0.000)



A relaxed structure of CsRbCd2As2, computed with PBE-GGA.

Computed properties:
- SG: P4mm (99)

Unit cell a=4.679 b=4.679 c=8.490 alpha=90.00 beta=90.00 gamma=90.00
Positions (direct):
As (0.000, 0.000, 0.192)
As (0.500, 0.500, 0.813)
Cd (0.500, 0.000, 0.002)
Cd (0.000, 0.500, 0.002)
Cs (0.000, 0.000, 0.645)
Rb (0.500, 0.500, 0.346)



A relaxed structure of TbNbFe, computed with PBE-GGA.

Computed properties:
- DFT formation energy: 0.419 eV/atom
- SG: F-43m (216)

Unit cell a=4.414 b=4.414 c=4.414 alpha=60.00 beta=60.00 gamma=60.00
Site moments in Bohr magnetons follow the coordinates.
Positions (direct):
Fe (0.000, 0.000, 0.000)  0.05
Nb (0.250, 0.250, 0.250)  -0.12
Tb (0.750, 0.750, 0.750)  -0.03



A relaxed structure of TbNdNi8B2, computed with PBE-GGA.

Computed properties:
- SG: P6/mmm (191)

Unit cell a=5.028 b=5.028 c=6.998 alpha=90.00 beta=90.00 gamma=120.00
Positions (direct):
B (0.667, 0.333, 0.500)
B (0.333, 0.667, 0.500)
Nd (0.000, 0.000, 0.000)
Ni (0.667, 0.333, 0.000)
Ni (0.333, 0.667, 0.000)
Ni (0.500, 0.000, 0.295)
Ni (0.000, 0.500, 0.295)
Ni (0.500, 0.500, 0.295)
Ni (0.500, 0.000, 0.705)
Ni (0.000, 0.500, 0.705)
Ni (0.500, 0.500, 0.705)
Tb (0.000, 0.000, 0.500)



A relaxed structure of SmY2In3Pd3, computed with PBE-GGA.

Computed properties:
- SG: Amm2 (38)

Unit cell a=3.876 b=7.730 c=7.730 alpha=119.99 beta=90.00 gamma=90.00
Positions (direct):
In (0.500, 0.742, 0.002)
In (0.500, 0.257, 0.257)
In (0.500, 0.002, 0.742)
Pd (0.000, 0.000, 0.000)
Pd (0.500, 0.667, 0.332)
Pd (0.500, 0.332, 0.667)
Sm (0.000, 0.590, 0.590)
Y (0.000, 0.409, 0.000)
Y (0.000, 0.000, 0.409)



A relaxed structure of SrReOs, computed with PBE-GGA.

Computed properties:
- SG: F-43m (216)

Unit cell a=4.528 b=4.528 c=4.528 alpha=60.00 beta=60.00 gamma=60.00
Positions (direct):
Os (0.000, 0.000, 0.000)
Re (0.250, 0.250, 0.250)
Sr (0.750, 0.750, 0.750)



A relaxed structure of SmMg2Pb, computed with PBE-GGA.

Computed properties:
- SG: P4/mmm (123)

Unit cell a=4.614 b=4.614 c=4.849 alpha=90.00 beta=90.00 gamma=90.00
Positions (direct):
Mg (0.500, 0.000, 0.000)
Mg (0.000, 0.500, 0.000)
Pb (0.000, 0.000, 0.500)
Sm (0.500, 0.500, 0.500)



A relaxed structure of LaZnSn, computed with PBE-GGA.

Computed properties:
- SG: F-43m (216)

Unit cell a=5.014 b=5.014 c=5.014 alpha=60.00 beta=60.00 gamma=60.00
Positions (direct):
La (0.250, 0.250, 0.250)
Sn (0.000, 0.000, 0.000)
Zn (0.750, 0.750, 0.750)



A relaxed structure of Cu2Ag, computed with PBE-GGA.

Computed properties:
- DFT formation energy: 0.089 eV/atom
- SG: C2/m (12)

Unit cell a=7.047 b=7.047 c=6.619 alpha=91.67 beta=91.67 gamma=22.45
Positions (direct):
Ag (0.000, 0.000, 0.000)
Ag (0.885, 0.885, 0.335)
Ag (0.115, 0.115, 0.665)
Cu (0.674, 0.674, 0.012)
Cu (0.218, 0.218, 0.328)
Cu (0.561, 0.561, 0.331)
Cu (0.439, 0.439, 0.669)
Cu (0.782, 0.782, 0.672)
Cu (0.326, 0.326, 0.988)



A relaxed structure of Hf2OsPb, computed with PBE-GGA.

Computed properties:
- SG: F-43m (216)

Unit cell a=4.815 b=4.815 c=4.815 alpha=60.00 beta=60.00 gamma=60.00
Site moments in Bohr magnetons follow the coordinates.
Positions (direct):
Hf (0.000, 0.000, 0.000)  0.43
Hf (0.750, 0.750, 0.750)  0.76
Os (0.250, 0.250, 0.250)  0.00
Pb (0.500, 0.500, 0.500)  0.01



A relaxed structure of TlCu3SnTe4, computed with PBE-GGA.

Computed properties:
- SG: P2_1/m (11)

Unit cell a=6.234 b=8.040 c=10.566 alpha=90.00 beta=106.29 gamma=90.00
Positions (direct):
Cu (0.293, 0.526, 0.004)
Cu (0.293, 0.974, 0.004)
Cu (0.337, 0.750, 0.192)
Cu (0.663, 0.250, 0.808)
Cu (0.707, 0.026, 0.996)
Cu (0.707, 0.474, 0.996)
Sn (0.875, 0.750, 0.211)
Sn (0.125, 0.250, 0.789)
Te (0.026, 0.250, 0.043)
Te (0.601, 0.027, 0.223)
Te (0.601, 0.473, 0.223)
Te (0.251, 0.750, 0.429)
Te (0.749, 0.250, 0.571)
Te (0.399, 0.527, 0.777)
Te (0.399, 0.973, 0.777)
Te (0.974, 0.750, 0.957)
Tl (0.161, 0.250, 0.413)
Tl (0.839, 0.750, 0.587)



A relaxed structure of Ta7W8, computed with PBE-GGA.

Computed properties:
- DFT formation energy: 0.035 eV/atom
- SG: P4_2/mnm (136)

Unit cell a=9.984 b=9.984 c=5.228 alpha=90.00 beta=90.00 gamma=90.00
Positions (direct):
Ta (0.000, 0.000, 0.000)
Ta (0.466, 0.130, 0.000)
Ta (0.396, 0.396, 0.000)
Ta (0.130, 0.466, 0.000)
Ta (0.870, 0.534, 0.000)
Ta (0.604, 0.604, 0.000)
Ta (0.534, 0.870, 0.000)
Ta (0.630, 0.034, 0.500)
Ta (0.896, 0.104, 0.500)
Ta (0.966, 0.370, 0.500)
Ta (0.500, 0.500, 0.500)
Ta (0.034, 0.630, 0.500)
Ta (0.104, 0.896, 0.500)
Ta (0.370, 0.966, 0.500)
W (0.743, 0.064, 0.000)
W (0.936, 0.257, 0.000)
W (0.064, 0.743, 0.000)
W (0.257, 0.936, 0.000)
W (0.686, 0.314, 0.250)
W (0.314, 0.686, 0.250)
W (0.186, 0.186, 0.250)
W (0.814, 0.814, 0.250)
W (0.436, 0.243, 0.500)
W (0.243, 0.436, 0.500)
W (0.757, 0.564, 0.500)
W (0.564, 0.757, 0.500)
W (0.186, 0.186, 0.750)
W (0.814, 0.814, 0.750)
W (0.686, 0.314, 0.750)
W (0.314, 0.686, 0.750)



A relaxed structure of TbAlPO, computed with PBE-GGA.

Computed properties:
- SG: Pmc2_1 (26)

Unit cell a=3.973 b=6.635 c=5.591 alpha=90.00 beta=90.00 gamma=90.00
Positions (direct):
Al (0.500, 0.891, 0.039)
Al (0.500, 0.109, 0.539)
O (0.500, 0.867, 0.375)
O (0.500, 0.133, 0.875)
P (0.000, 0.267, 0.416)
P (0.000, 0.733, 0.916)
Tb (0.000, 0.685, 0.423)
Tb (0.000, 0.315, 0.923)



A relaxed structure of ScZn2Sn2, computed with PBE-GGA.

Computed properties:
- SG: I4/mmm (139)

Unit cell a=7.238 b=7.238 c=7.238 alpha=147.72 beta=147.72 gamma=46.30
Positions (direct):
Sc (0.000, 0.000, 0.000)
Sn (0.392, 0.392, 0.000)
Sn (0.608, 0.608, 0.000)
Zn (0.750, 0.250, 0.500)
Zn (0.250, 0.750, 0.500)



A relaxed structure of BeCu5Ge2, computed with PBE-GGA.

Computed properties:
- SG: P4/mmm (123)

Unit cell a=4.143 b=4.143 c=5.812 alpha=90.00 beta=90.00 gamma=90.00
Positions (direct):
Be (0.000, 0.000, 0.500)
Cu (0.500, 0.500, 0.000)
Cu (0.500, 0.000, 0.261)
Cu (0.000, 0.500, 0.261)
Cu (0.500, 0.000, 0.739)
Cu (0.000, 0.500, 0.739)
Ge (0.000, 0.000, 0.000)
Ge (0.500, 0.500, 0.500)



A relaxed structure of TmBiAsO, computed with PBE-GGA.

Computed properties:
- SG: P4/nmm (129)

Unit cell a=4.206 b=4.206 c=9.936 alpha=90.00 beta=90.00 gamma=90.00
Positions (direct):
As (0.000, 0.000, 0.259)
As (0.500, 0.500, 0.741)
Bi (0.500, 0.000, 0.500)
Bi (0.000, 0.500, 0.500)
O (0.500, 0.000, 0.000)
O (0.000, 0.500, 0.000)
Tm (0.500, 0.500, 0.085)
Tm (0.000, 0.000, 0.915)



A relaxed structure of HfNbZn, computed with PBE-GGA.

Computed properties:
- DFT formation energy: 0.396 eV/atom
- SG: F-43m (216)

Unit cell a=4.398 b=4.398 c=4.398 alpha=60.00 beta=60.00 gamma=60.00
Positions (direct):
Hf (0.250, 0.250, 0.250)
Nb (0.750, 0.750, 0.750)
Zn (0.000, 0.000, 0.000)



A relaxed structure of ReBiAsO, computed with PBE-GGA.

Computed properties:
- SG: Pmc2_1 (26)

Unit cell a=3.317 b=7.223 c=7.403 alpha=90.00 beta=90.00 gamma=90.00
Positions (direct):
As (0.000, 0.775, 0.443)
As (0.000, 0.225, 0.943)
Bi (0.000, 0.807, 0.056)
Bi (0.000, 0.193, 0.556)
O (0.500, 0.461, 0.254)
O (0.500, 0.539, 0.754)
Re (0.500, 0.476, 0.002)
Re (0.500, 0.524, 0.502)



no.,E_tot (eV/cell)
1,-59.881
2,-23.431
3,-35.842
4,-15.379
5,-21.775
6,-72.906
7,-48.751
8,-21.506
9,-12.825
10,-10.957
11,-29.977
12,-33.748
13,-61.485
14,-372.259
15,-51.107
16,-17.163
17,-30.804
18,-46.939
19,-20.127
20,-54.519